CdPd5 (GGA-PBE, optimized geometry); mass density = 11.14 g cm⁻³; ΔH_f (0 K) = -0.17 eV per atom; VASP energy = -27.9 eV/cell
1.0
3.986 0.000 0.000
-1.993 4.343 -1.115
0.000 -0.435 5.659
Pd Cd
5 1
direct
0.026 0.052 0.552
0.363 0.726 0.226
0.361 0.722 0.718
0.028 0.055 0.060
0.694 0.389 0.389
0.694 0.389 0.889

Tc5W (GGA-PBE, optimized geometry); mass density = 12.55 g cm⁻³; energy above the lowest structure with this stoichiometry = 0 meV per atom; ΔH_f (0 K) = 0.07 eV per atom; VASP energy = -64.3 eV/cell
1.0
2.771 0.000 0.000
-1.386 5.069 -0.010
0.000 1.693 6.342
Tc W
5 1
direct
0.666 0.331 0.662
0.339 0.677 0.338
0.391 0.782 0.719
0.996 0.993 0.997
0.054 0.107 0.395
0.721 0.443 0.056

Sr2LiCd6Ag (GGA-PBE, optimized geometry); mass density = 5.79 g cm⁻³; ΔH_f (0 K) = -0.13 eV per atom; VASP energy = -14.9 eV/cell
1.0
7.326 -0.028 -0.115
-0.027 7.325 -0.114
3.567 3.567 5.043
Li Cd Ag Sr
1 6 1 2
direct
0.500 0.500 0.000
0.298 0.298 0.920
0.739 0.261 0.000
0.702 0.702 0.516
0.702 0.702 0.080
0.298 0.298 0.484
0.261 0.739 0.000
0.000 0.000 0.000
0.208 0.792 0.500
0.792 0.208 0.500

CoPbAu2 (GGA-PBE, optimized geometry); mass density = 14.50 g cm⁻³; ΔH_f (0 K) = 0.23 eV per atom; VASP energy = -16.4 eV/cell
1.0
6.112 0.055 -0.022
5.320 3.009 -0.022
1.656 0.444 4.171
Pb Co Au
1 1 2
direct
0.250 0.250 0.250
0.750 0.750 0.750
0.047 0.047 0.953
0.453 0.453 0.547

Y2MnCo (GGA-PBE, optimized geometry); mass density = 5.82 g cm⁻³; energy above the lowest structure with this stoichiometry = 101 meV per atom; ΔH_f (0 K) = 0.04 eV per atom; VASP energy = -29.0 eV/cell
1.0
6.006 0.003 0.000
3.244 5.054 0.000
-4.207 -3.294 2.743
Y Mn Co
2 1 1
direct
0.721 0.221 0.500
0.005 0.005 0.000
0.307 0.807 0.500
0.467 0.467 0.000

La2CrW (GGA-PBE, optimized geometry); mass density = 8.80 g cm⁻³; energy above the lowest structure with this stoichiometry = 559 meV per atom; ΔH_f (0 K) = 0.96 eV per atom; VASP energy = -28.6 eV/cell
1.0
9.962 0.165 0.097
9.332 3.491 0.097
9.332 1.768 3.011
La Cr W
2 1 1
direct
0.502 0.502 0.502
0.998 0.998 0.998
0.750 0.750 0.750
0.250 0.250 0.250

Ca3C (GGA-PBE, optimized geometry); mass density = 1.66 g cm⁻³; energy above the lowest structure with this stoichiometry = 43 meV per atom; ΔH_f (0 K) = 0.29 eV per atom; VASP energy = -14.1 eV/cell
1.0
-2.555 0.771 4.344
2.539 -3.849 2.176
3.608 3.254 1.545
Ca C
3 1
direct
0.500 0.000 0.000
0.000 0.000 0.500
0.000 0.500 0.000
0.000 0.000 0.000

Y2CoOsN (GGA-PBE, optimized geometry); mass density = 8.66 g cm⁻³; ΔE_f (raw) = -0.484 eV/atom; VASP energy = -42.0 eV/cell
1.0
4.893 0.000 0.000
0.000 3.534 0.000
0.000 0.000 4.893
Os N Y Co
1 1 2 1
direct
0.500 0.500 0.500
0.000 0.000 0.000
0.000 0.000 0.500
0.500 0.000 0.000
0.000 0.500 0.000

ZrTlSe2 (GGA-PBE, optimized geometry); mass density = 6.69 g cm⁻³; ΔE_f (raw) = -0.884 eV/atom; VASP energy = -171.4 eV/cell
1.0
19.556 0.000 2.404
2.271 5.021 -4.306
-2.271 5.021 4.306
Se Zr Tl
16 8 8
direct
0.430 0.163 0.256
0.069 0.637 0.200
0.070 0.756 0.663
0.750 0.203 0.703
0.931 0.363 0.800
0.569 0.300 0.863
0.252 0.809 0.814
0.431 0.700 0.137
0.930 0.244 0.337
0.250 0.797 0.297
0.748 0.191 0.186
0.752 0.686 0.691
0.570 0.837 0.744
0.248 0.314 0.309
0.750 0.669 0.169
0.250 0.331 0.831
0.685 0.983 0.890
0.669 0.496 0.875
0.831 0.375 0.996
0.169 0.625 0.004
0.185 0.610 0.517
0.815 0.390 0.483
0.315 0.017 0.110
0.331 0.504 0.125
0.585 0.821 0.306
0.083 0.181 0.182
0.415 0.179 0.694
0.915 0.806 0.321
0.417 0.682 0.681
0.917 0.819 0.818
0.085 0.194 0.679
0.583 0.318 0.319

Re2AgIr (GGA-PBE, optimized geometry); mass density = 18.02 g cm⁻³; energy above the lowest structure with this stoichiometry = 417 meV per atom; ΔH_f (0 K) = 0.60 eV per atom; VASP energy = -34.2 eV/cell
1.0
4.442 0.000 0.000
2.221 3.847 0.000
2.221 1.282 3.627
Ir Re Ag
1 2 1
direct
0.750 0.750 0.750
0.000 0.000 0.000
0.250 0.250 0.250
0.500 0.500 0.500

- Which of these has the highest VASP energy?
  Ca3C